No. 1
# Na2Tl2In5

A relaxed structure of Na2Tl2In5 (PBE-GGA, Alexandria).

## Properties
- Energy relative to the elements: -0.03 eV per atom

abc: 6.276 9.014 10.733
angles: 115.28 106.31 89.83
Fractional coordinates of all 18 atoms:
Na (0.462, 0.806, 0.822)
Na (0.630, 0.192, 0.171)
Na (0.951, 0.517, 0.822)
Na (0.136, 0.477, 0.171)
Tl (0.038, 0.934, 0.972)
Tl (0.521, 0.539, 0.970)
Tl (0.806, 0.145, 0.510)
Tl (0.298, 0.863, 0.509)
In (0.409, 0.863, 0.222)
In (0.223, 0.177, 0.854)
In (0.904, 0.852, 0.210)
In (0.725, 0.181, 0.859)
In (0.856, 0.858, 0.635)
In (0.192, 0.193, 0.303)
In (0.368, 0.277, 0.634)
In (0.700, 0.609, 0.302)
In (0.057, 0.512, 0.521)
In (0.554, 0.506, 0.514)

---

No. 2
# Na14TlIn

A relaxed structure of Na14TlIn (PBE-GGA, Alexandria).

## Properties
- Energy relative to the elements: -0.03 eV per atom

abc: 7.242 7.242 10.213
angles: 90.00 90.00 90.10
Fractional coordinates of all 16 atoms:
Na (0.875, 0.875, 0.000)
Na (0.375, 0.375, 0.000)
Na (0.875, 0.375, 0.500)
Na (0.875, 0.375, 0.000)
Na (0.375, 0.875, 0.500)
Na (0.375, 0.875, 0.000)
Na (0.624, 0.126, 0.268)
Na (0.624, 0.126, 0.732)
Na (0.126, 0.624, 0.268)
Na (0.126, 0.624, 0.732)
Na (0.624, 0.624, 0.268)
Na (0.624, 0.624, 0.732)
Na (0.126, 0.126, 0.268)
Na (0.126, 0.126, 0.732)
Tl (0.875, 0.875, 0.500)
In (0.375, 0.375, 0.500)

---

No. 3
# Na5Tl6In2

A relaxed structure of Na5Tl6In2 (PBE-GGA, Alexandria).

## Properties
- Energy relative to the elements: -0.07 eV per atom

abc: 3.503 10.695 20.190
angles: 90.00 90.00 90.00
Fractional coordinates of all 26 atoms:
Na (0.500, 0.356, 0.455)
Na (0.500, 0.644, 0.545)
Na (0.500, 0.856, 0.045)
Na (0.500, 0.144, 0.955)
Na (0.500, 0.624, 0.256)
Na (0.500, 0.376, 0.744)
Na (0.500, 0.124, 0.244)
Na (0.500, 0.876, 0.756)
Na (0.500, 0.500, 0.000)
Na (0.500, 0.000, 0.500)
Tl (0.000, 0.131, 0.385)
Tl (0.000, 0.869, 0.615)
Tl (0.000, 0.631, 0.115)
Tl (0.000, 0.369, 0.885)
Tl (0.500, 0.372, 0.155)
Tl (0.500, 0.628, 0.845)
Tl (0.500, 0.872, 0.345)
Tl (0.500, 0.128, 0.655)
Tl (0.000, 0.619, 0.402)
Tl (0.000, 0.381, 0.598)
Tl (0.000, 0.119, 0.098)
Tl (0.000, 0.881, 0.902)
In (0.000, 0.377, 0.303)
In (0.000, 0.623, 0.697)
In (0.000, 0.877, 0.197)
In (0.000, 0.123, 0.803)